Here is a geometry-optimized MgTl2Pt structure from Alexandria. Energies are from PBE-GGA.

## Properties
Energy above the most stable polymorph in this dataset: 0.47 eV/f.u.
ΔE_f: -0.109 eV per atom
Symmetry: Imm2 (44)
N(E_F): 1.5 states/eV per cell

a b c (Å): 6.708 6.708 6.708
angles (deg): 151.43 139.13 50.62
Positions (direct):
1 Mg 0.000 0.000 0.000
2 Tl 0.394 0.394 0.000
3 Tl 0.692 0.192 0.500
4 Pt 0.173 0.673 0.500

=====

Here is a geometry-optimized MgTl2Pt structure from Alexandria. Energies are from PBE-GGA.

## Properties
Energy above the most stable polymorph in this dataset: 0.94 eV/f.u.
ΔE_f: 0.010 eV per atom
Symmetry: P2/m (10)
N(E_F): 1.7 states/eV per cell

a b c (Å): 3.680 4.884 5.075
angles (deg): 90.00 92.72 90.00
Positions (direct):
1 Mg 0.000 0.000 0.000
2 Tl 0.272 0.500 0.742
3 Tl 0.728 0.500 0.258
4 Pt 0.500 0.000 0.500

=====

Here is a geometry-optimized MgTl2Pt structure from Alexandria. Energies are from PBE-GGA.

## Properties
Energy above the most stable polymorph in this dataset: 0.23 eV/f.u.
ΔE_f: -0.169 eV per atom
Symmetry: Cm (8)
N(E_F): 1.3 states/eV per cell

a b c (Å): 4.938 4.938 6.392
angles (deg): 113.12 113.12 46.03
Positions (direct):
1 Mg 0.000 0.000 0.000
2 Tl 0.620 0.620 0.674
3 Tl 0.806 0.806 0.356
4 Pt 0.303 0.303 0.023

=====

Here is a geometry-optimized MgTl2Pt structure from Alexandria. Energies are from PBE-GGA.

## Properties
Energy above the most stable polymorph in this dataset: 0.09 eV/f.u.
ΔE_f: -0.204 eV per atom
Symmetry: Immm (71)
N(E_F): 2.1 states/eV per cell

a b c (Å): 7.636 7.636 7.636
angles (deg): 155.58 147.02 41.46
Positions (direct):
1 Mg 0.000 0.000 0.000
2 Tl 0.324 0.824 0.500
3 Tl 0.676 0.176 0.500
4 Pt 0.500 0.500 0.000

=====

Here is a geometry-optimized Mg2TlPt structure from Alexandria. Energies are from PBE-GGA.

## Properties
ΔE_f: -0.177 eV per atom
Symmetry: I-42d (122)
N(E_F): 3.2 states/eV per cell

a b c (Å): 6.582 6.582 6.582
angles (deg): 99.79 99.79 131.30
Positions (direct):
1 Mg 0.033 0.625 0.908
2 Mg 0.375 0.283 0.408
3 Mg 0.717 0.125 0.092
4 Mg 0.875 0.967 0.592
5 Tl 0.250 0.750 0.500
6 Tl 0.500 0.500 0.000
7 Pt 0.000 0.000 0.000
8 Pt 0.750 0.250 0.500

=====

Here is a geometry-optimized MgTl2Pt structure from Alexandria. Energies are from PBE-GGA.

## Properties
Energy above the most stable polymorph in this dataset: 0.00 eV/f.u.
ΔE_f: -0.226 eV per atom
Symmetry: Pm (6)
N(E_F): 1.7 states/eV per cell

a b c (Å): 3.756 3.617 7.453
angles (deg): 90.00 103.76 90.00
Positions (direct):
1 Mg 0.000 0.000 0.000
2 Tl 0.298 0.000 0.608
3 Tl 0.654 0.500 0.308
4 Pt 0.461 0.500 0.917

=====

Ordered VASP energy results: -3.201; -3.082; -3.261; -3.296; -3.076; -3.317; unit eV/atom.